[1]
Ce15ThSn4: optimized geometry, PBE.

Cell: 4.7736 4.7736 24.1351 Å, 90.00 90.00 90.00°
Site moments in Bohr magnetons follow the coordinates.
Fractional coordinates of all 20 atoms:
Sn: 0.0000 0.0000 0.5992  -0.02
Sn: 0.0000 0.0000 0.4008  -0.02
Ce: 0.0000 0.5000 0.6982  0.75
Ce: 0.5000 0.0000 0.3018  0.75
Ce: 0.0000 0.5000 0.8974  0.47
Ce: 0.5000 0.5000 0.5992  0.70
Ce: 0.5000 0.5000 0.7984  0.76
Sn: 0.0000 0.0000 0.2020  -0.02
Ce: 0.5000 0.5000 0.2016  0.76
Th: 0.0000 0.0000 0.0000  0.01
Ce: 0.0000 0.5000 0.5000  0.71
Ce: 0.5000 0.0000 0.6982  0.75
Ce: 0.5000 0.0000 0.8974  0.47
Sn: 0.0000 0.0000 0.7980  -0.02
Ce: 0.0000 0.5000 0.1026  0.47
Ce: 0.5000 0.5000 0.4008  0.70
Ce: 0.5000 0.0000 0.1026  0.47
Ce: 0.0000 0.5000 0.3018  0.75
Ce: 0.5000 0.0000 0.5000  0.71
Ce: 0.5000 0.5000 0.0000  0.11

Volume, Å³/f.u.: 550.0
ΔE_f, eV per atom: -0.3129
DOS(E_F), states/eV/cell: 56.63
Magnetic moment, μB per cell: 11.61
Symmetry: P4/mmm (123)



[2]
CaCoRe2Mo: optimized geometry, PBE.

Cell: 4.6956 5.1862 4.6956 Å, 90.00 90.00 90.00°
Site moments in Bohr magnetons follow the coordinates.
Fractional coordinates of all 5 atoms:
Re: 0.5000 0.0000 0.0000  -0.17
Ca: 0.0000 0.5000 0.0000  0.00
Re: 0.0000 0.0000 0.5000  -0.26
Co: 0.5000 0.5000 0.5000  2.05
Mo: 0.0000 0.0000 0.0000  0.10

Volume, Å³/f.u.: 114.3
ΔE_f, eV per atom: 2.0677
DOS(E_F), states/eV/cell: 8.49
Magnetic moment, μB per cell: 1.61
Symmetry: P4/mmm (123)



[3]
Ho5Er4Tl2: optimized geometry, PBE.

Cell: 3.5366 9.1549 12.4197 Å, 118.41 98.19 90.00°
Fractional coordinates of all 11 atoms:
Ho: 0.8239 0.0299 0.6478
Er: 0.3975 0.4113 0.7950
Ho: 0.1276 0.3005 0.2552
Er: 0.9840 0.2882 0.9681
Er: 0.6025 0.5887 0.2050
Tl: 0.2646 0.3512 0.5291
Ho: 0.8724 0.6995 0.7448
Er: 0.0160 0.7118 0.0319
Tl: 0.7354 0.6488 0.4709
Ho: 0.1761 0.9701 0.3522
Ho: 0.5000 0.0000 0.0000

Volume, Å³/f.u.: 349.0
ΔE_f, eV per atom: 0.0882
DOS(E_F), states/eV/cell: 12.67
Magnetic moment, μB per cell: 0.00
Symmetry: C2/m (12)



[4]
TbPmDyHo: optimized geometry, PBE.

Cell: 5.6889 5.6889 5.6889 Å, 60.00 60.00 60.00°
Fractional coordinates of all 4 atoms:
Tb: 0.0000 0.0000 0.0000
Ho: 0.7500 0.7500 0.7500
Dy: 0.5000 0.5000 0.5000
Pm: 0.2500 0.2500 0.2500

Volume, Å³/f.u.: 130.2
ΔE_f, eV per atom: 0.1442
DOS(E_F), states/eV/cell: 9.78
Magnetic moment, μB per cell: 0.01
Energy above the lowest structure with this stoichiometry, eV/atom: 0.000
Symmetry: F-43m (216)



[5]
CeHoNi10: optimized geometry, PBE.

Cell: 3.9784 4.8790 8.4299 Å, 90.00 90.00 90.00°
Site moments in Bohr magnetons follow the coordinates.
Fractional coordinates of all 12 atoms:
Ni: 0.5000 0.5000 0.0000  0.32
Ni: 0.5000 0.2515 0.7480  0.31
Ho: 0.0000 0.5000 0.5000  -0.08
Ni: 0.5000 0.0000 0.5000  0.33
Ni: 0.5000 0.7485 0.7480  0.31
Ce: 0.0000 0.0000 0.0000  -0.24
Ni: 0.0000 0.5000 0.8349  0.23
Ni: 0.0000 0.0000 0.6690  0.24
Ni: 0.0000 0.0000 0.3310  0.24
Ni: 0.0000 0.5000 0.1651  0.23
Ni: 0.5000 0.7485 0.2520  0.31
Ni: 0.5000 0.2515 0.2520  0.31

Volume, Å³/f.u.: 163.6
ΔE_f, eV per atom: -0.3393
DOS(E_F), states/eV/cell: 12.52
Magnetic moment, μB per cell: 2.27
Symmetry: Pmmm (47)



[6]
NdY3Ir: optimized geometry, PBE.

Cell: 5.4637 5.4637 5.4637 Å, 90.00 90.00 90.00°
Fractional coordinates of all 5 atoms:
Y: 0.0000 0.5000 0.0000
Y: 0.0000 0.0000 0.5000
Ir: 0.0000 0.0000 0.0000
Nd: 0.5000 0.5000 0.5000
Y: 0.5000 0.0000 0.0000

Volume, Å³/f.u.: 163.1
ΔE_f, eV per atom: -0.2891
DOS(E_F), states/eV/cell: 7.08
Magnetic moment, μB per cell: 0.00
Energy above the lowest structure with this stoichiometry, eV/atom: 0.039
Symmetry: Pm-3m (221)



> The highest volume belongs to which entry?

Ce15ThSn4



> Number 5 is which compound?

CeHoNi10



> Look up the ΔE_f of the fourth one.

0.1442 eV per atom